# TeHS2Cl PBE relaxed
data_TeHS2Cl
_cell_length_a 5.0493
_cell_length_b 5.0493
_cell_length_c 5.3603
_cell_angle_alpha 90.00
_cell_angle_beta 90.00
_cell_angle_gamma 90.00
_symmetry_space_group_name_H-M 'P 1'
_symmetry_Int_Tables_number 1
_symmetry_space_group_name_Hall 'P 1'
loop_
_atom_site_label
_atom_site_type_symbol
_atom_site_fract_x
_atom_site_fract_y
_atom_site_fract_z
Te1 Te 0.0000 0.0000 0.0000
H1 H 0.5000 0.5000 0.5000
S1 S 0.0000 0.5000 0.0000
S2 S 0.5000 0.0000 0.0000
Cl1 Cl 0.0000 0.0000 0.5000
# - calculated volume (Å³/cell) = 136.7
# - ΔE to the lowest computed polymorph (eV per atom) = 0.101

# AgBiCl5 PBE relaxed
data_AgBiCl5
_cell_length_a 7.3850
_cell_length_b 7.3850
_cell_length_c 8.6834
_cell_angle_alpha 104.71
_cell_angle_beta 104.71
_cell_angle_gamma 86.67
_symmetry_space_group_name_H-M 'P 1'
_symmetry_Int_Tables_number 1
_symmetry_space_group_name_Hall 'P 1'
loop_
_atom_site_label
_atom_site_type_symbol
_atom_site_fract_x
_atom_site_fract_y
_atom_site_fract_z
Ag1 Ag 0.0000 0.0000 0.0000
Ag2 Ag 0.0000 0.0000 0.5000
Bi1 Bi 0.4701 0.5299 0.7500
Bi2 Bi 0.5299 0.4701 0.2500
Cl1 Cl 0.1146 0.8854 0.7500
Cl2 Cl 0.1738 0.2994 0.6412
Cl3 Cl 0.2994 0.1738 0.1412
Cl4 Cl 0.3238 0.6529 0.0471
Cl5 Cl 0.3471 0.6762 0.4529
Cl6 Cl 0.6529 0.3238 0.5471
Cl7 Cl 0.6762 0.3471 0.9529
Cl8 Cl 0.7006 0.8262 0.8588
Cl9 Cl 0.8262 0.7006 0.3588
Cl10 Cl 0.8854 0.1146 0.2500
# - calculated volume (Å³/cell) = 443.0
# - ΔE to the lowest computed polymorph (eV per atom) = 0.000
# - formation energy from raw total energies (eV/atom) = -0.657

# K3AcDy2Te6 PBE relaxed
data_K3AcDy2Te6
_cell_length_a 7.9969
_cell_length_b 7.9969
_cell_length_c 8.6834
_cell_angle_alpha 98.87
_cell_angle_beta 98.87
_cell_angle_gamma 120.04
_symmetry_space_group_name_H-M 'P 1'
_symmetry_Int_Tables_number 1
_symmetry_space_group_name_Hall 'P 1'
loop_
_atom_site_label
_atom_site_type_symbol
_atom_site_fract_x
_atom_site_fract_y
_atom_site_fract_z
K1 K 0.0000 0.0000 0.0000
K2 K 0.3375 0.6625 0.0000
K3 K 0.6625 0.3375 0.0000
Ac1 Ac 0.5000 0.5000 0.5000
Dy1 Dy 0.1673 0.8327 0.5000
Dy2 Dy 0.8327 0.1673 0.5000
Te1 Te 0.0771 0.4286 0.2872
Te2 Te 0.2191 0.2191 0.7118
Te3 Te 0.4286 0.0771 0.2872
Te4 Te 0.5714 0.9229 0.7128
Te5 Te 0.7809 0.7809 0.2882
Te6 Te 0.9229 0.5714 0.7128
# - calculated volume (Å³/cell) = 457.3
# - formation energy from raw total energies (eV/atom) = -1.421

# DyTmScRu PBE relaxed
data_DyTmScRu
_cell_length_a 5.0179
_cell_length_b 5.0179
_cell_length_c 5.0179
_cell_angle_alpha 60.00
_cell_angle_beta 60.00
_cell_angle_gamma 60.00
_symmetry_space_group_name_H-M 'P 1'
_symmetry_Int_Tables_number 1
_symmetry_space_group_name_Hall 'P 1'
loop_
_atom_site_label
_atom_site_type_symbol
_atom_site_fract_x
_atom_site_fract_y
_atom_site_fract_z
Dy1 Dy 0.0000 0.0000 0.0000
Tm1 Tm 0.5000 0.5000 0.5000
Sc1 Sc 0.7500 0.7500 0.7500
Ru1 Ru 0.2500 0.2500 0.2500
# - ΔH_f (0 K) (eV/atom) = -0.06
# - calculated volume (Å³/cell) = 89.3

# Ac2SmF PBE relaxed
data_Ac2SmF
_cell_length_a 10.4993
_cell_length_b 10.4993
_cell_length_c 10.4993
_cell_angle_alpha 21.52
_cell_angle_beta 21.52
_cell_angle_gamma 21.52
_symmetry_space_group_name_H-M 'P 1'
_symmetry_Int_Tables_number 1
_symmetry_space_group_name_Hall 'P 1'
loop_
_atom_site_label
_atom_site_type_symbol
_atom_site_fract_x
_atom_site_fract_y
_atom_site_fract_z
Ac1 Ac 0.1144 0.1144 0.1144
Ac2 Ac 0.8856 0.8856 0.8856
Sm1 Sm 0.0000 0.0000 0.0000
F1 F 0.5000 0.5000 0.5000
# - calculated volume (Å³/cell) = 136.5
# - formation energy from raw total energies (eV/atom) = -0.867

# Pm3TmTl4 PBE relaxed
data_Pm3TmTl4
_cell_length_a 3.8192
_cell_length_b 3.8192
_cell_length_c 15.6281
_cell_angle_alpha 90.00
_cell_angle_beta 90.00
_cell_angle_gamma 90.00
_symmetry_space_group_name_H-M 'P 1'
_symmetry_Int_Tables_number 1
_symmetry_space_group_name_Hall 'P 1'
loop_
_atom_site_label
_atom_site_type_symbol
_atom_site_fract_x
_atom_site_fract_y
_atom_site_fract_z
Pm1 Pm 0.0000 0.0000 0.0000
Pm2 Pm 0.0000 0.0000 0.2563
Pm3 Pm 0.0000 0.0000 0.7437
Tm1 Tm 0.0000 0.0000 0.5000
Tl1 Tl 0.5000 0.5000 0.1285
Tl2 Tl 0.5000 0.5000 0.3849
Tl3 Tl 0.5000 0.5000 0.6151
Tl4 Tl 0.5000 0.5000 0.8715
# - ΔH_f (0 K) (eV/atom) = -0.37
# - calculated volume (Å³/cell) = 228.0
# - ΔE to the lowest computed polymorph (eV per atom) = 0.000

# Te2PBrN PBE relaxed
data_Te2PBrN
_cell_length_a 5.8238
_cell_length_b 5.8238
_cell_length_c 3.2646
_cell_angle_alpha 90.00
_cell_angle_beta 90.00
_cell_angle_gamma 90.00
_symmetry_space_group_name_H-M 'P 1'
_symmetry_Int_Tables_number 1
_symmetry_space_group_name_Hall 'P 1'
loop_
_atom_site_label
_atom_site_type_symbol
_atom_site_fract_x
_atom_site_fract_y
_atom_site_fract_z
Te1 Te 0.0000 0.5000 0.0000
Te2 Te 0.5000 0.0000 0.0000
P1 P 0.0000 0.0000 0.0000
Br1 Br 0.5000 0.5000 0.5000
N1 N 0.0000 0.0000 0.5000
# - calculated volume (Å³/cell) = 110.7
# - ΔE to the lowest computed polymorph (eV per atom) = 0.000
# - formation energy from raw total energies (eV/atom) = 0.595

# Ba2PtBr PBE relaxed
data_Ba2PtBr
_cell_length_a 3.9447
_cell_length_b 3.9059
_cell_length_c 8.4836
_cell_angle_alpha 90.00
_cell_angle_beta 90.34
_cell_angle_gamma 90.00
_symmetry_space_group_name_H-M 'P 1'
_symmetry_Int_Tables_number 1
_symmetry_space_group_name_Hall 'P 1'
loop_
_atom_site_label
_atom_site_type_symbol
_atom_site_fract_x
_atom_site_fract_y
_atom_site_fract_z
Ba1 Ba 0.0000 0.0000 0.2167
Ba2 Ba 0.0000 0.0000 0.7833
Pt1 Pt 0.5000 0.5000 0.0000
Br1 Br 0.5000 0.5000 0.5000
# - calculated volume (Å³/cell) = 130.7
# - ΔE to the lowest computed polymorph (eV per atom) = 0.108
# - formation energy from raw total energies (eV/atom) = -1.169

# Dy5Bi4C PBE relaxed
data_Dy5Bi4C
_cell_length_a 7.4551
_cell_length_b 7.4551
_cell_length_c 7.4551
_cell_angle_alpha 100.13
_cell_angle_beta 100.13
_cell_angle_gamma 130.42
_symmetry_space_group_name_H-M 'P 1'
_symmetry_Int_Tables_number 1
_symmetry_space_group_name_Hall 'P 1'
loop_
_atom_site_label
_atom_site_type_symbol
_atom_site_fract_x
_atom_site_fract_y
_atom_site_fract_z
Dy1 Dy 0.0000 0.0000 0.0000
Dy2 Dy 0.1868 0.3375 0.6599
Dy3 Dy 0.3375 0.6776 0.1507
Dy4 Dy 0.5269 0.1868 0.8493
Dy5 Dy 0.6776 0.5269 0.3401
Bi1 Bi 0.0094 0.6153 0.7676
Bi2 Bi 0.2418 0.0094 0.3941
Bi3 Bi 0.6153 0.8477 0.6059
Bi4 Bi 0.8477 0.2418 0.2324
C1 C 0.3826 0.3826 0.0000
# - ΔH_f (0 K) (eV/atom) = -0.62
# - calculated volume (Å³/cell) = 286.4

# BaPaP2Ir4 PBE relaxed
data_BaPaP2Ir4
_cell_length_a 4.0526
_cell_length_b 4.0526
_cell_length_c 10.1390
_cell_angle_alpha 90.00
_cell_angle_beta 90.00
_cell_angle_gamma 90.00
_symmetry_space_group_name_H-M 'P 1'
_symmetry_Int_Tables_number 1
_symmetry_space_group_name_Hall 'P 1'
loop_
_atom_site_label
_atom_site_type_symbol
_atom_site_fract_x
_atom_site_fract_y
_atom_site_fract_z
Ba1 Ba 0.0000 0.0000 0.0000
Pa1 Pa 0.0000 0.0000 0.5000
P1 P 0.5000 0.5000 0.1871
P2 P 0.5000 0.5000 0.8129
Ir1 Ir 0.0000 0.5000 0.3001
Ir2 Ir 0.0000 0.5000 0.6999
Ir3 Ir 0.5000 0.0000 0.3001
Ir4 Ir 0.5000 0.0000 0.6999
# - ΔH_f (0 K) (eV/atom) = -0.82
# - calculated volume (Å³/cell) = 166.5

# PmCo6Ge4 PBE relaxed
data_PmCo6Ge4
_cell_length_a 6.8040
_cell_length_b 6.8040
_cell_length_c 3.7399
_cell_angle_alpha 90.00
_cell_angle_beta 90.00
_cell_angle_gamma 120.00
_symmetry_space_group_name_H-M 'P 1'
_symmetry_Int_Tables_number 1
_symmetry_space_group_name_Hall 'P 1'
loop_
_atom_site_label
_atom_site_type_symbol
_atom_site_fract_x
_atom_site_fract_y
_atom_site_fract_z
Pm1 Pm 0.0000 0.0000 0.0000
Co1 Co 0.2073 0.4145 0.5000
Co2 Co 0.2073 0.7927 0.5000
Co3 Co 0.5351 0.0702 0.0000
Co4 Co 0.5351 0.4649 0.0000
Co5 Co 0.5855 0.7927 0.5000
Co6 Co 0.9298 0.4649 0.0000
Ge1 Ge 0.3333 0.6667 0.0000
Ge2 Ge 0.3927 0.1964 0.5000
Ge3 Ge 0.8036 0.1964 0.5000
Ge4 Ge 0.8036 0.6073 0.5000
# - ΔH_f (0 K) (eV/atom) = -0.35
# - calculated volume (Å³/cell) = 149.9

# Pm6Cu5Os PBE relaxed
data_Pm6Cu5Os
_cell_length_a 7.9455
_cell_length_b 7.9455
_cell_length_c 7.1190
_cell_angle_alpha 90.00
_cell_angle_beta 90.00
_cell_angle_gamma 143.06
_symmetry_space_group_name_H-M 'P 1'
_symmetry_Int_Tables_number 1
_symmetry_space_group_name_Hall 'P 1'
loop_
_atom_site_label
_atom_site_type_symbol
_atom_site_fract_x
_atom_site_fract_y
_atom_site_fract_z
Pm1 Pm 0.0000 0.0000 0.2414
Pm2 Pm 0.0000 0.0000 0.7586
Pm3 Pm 0.3376 0.6624 0.2461
Pm4 Pm 0.3376 0.6624 0.7539
Pm5 Pm 0.6624 0.3376 0.2461
Pm6 Pm 0.6624 0.3376 0.7539
Cu1 Cu 0.1638 0.8362 0.5000
Cu2 Cu 0.1732 0.8268 0.0000
Cu3 Cu 0.5000 0.5000 0.5000
Cu4 Cu 0.8268 0.1732 0.0000
Cu5 Cu 0.8362 0.1638 0.5000
Os1 Os 0.5000 0.5000 0.0000
# - ΔH_f (0 K) (eV/atom) = -0.15
# - calculated volume (Å³/cell) = 270.1

# Er2TmGa2 PBE relaxed
data_Er2TmGa2
_cell_length_a 7.5989
_cell_length_b 7.5989
_cell_length_c 4.2397
_cell_angle_alpha 90.00
_cell_angle_beta 90.00
_cell_angle_gamma 90.00
_symmetry_space_group_name_H-M 'P 1'
_symmetry_Int_Tables_number 1
_symmetry_space_group_name_Hall 'P 1'
loop_
_atom_site_label
_atom_site_type_symbol
_atom_site_fract_x
_atom_site_fract_y
_atom_site_fract_z
Er1 Er 0.1748 0.3252 0.0000
Er2 Er 0.3252 0.8252 0.0000
Er3 Er 0.6748 0.1748 0.0000
Er4 Er 0.8252 0.6748 0.0000
Tm1 Tm 0.0000 0.0000 0.5000
Tm2 Tm 0.5000 0.5000 0.5000
Ga1 Ga 0.1207 0.6207 0.5000
Ga2 Ga 0.3793 0.1207 0.5000
Ga3 Ga 0.6207 0.8793 0.5000
Ga4 Ga 0.8793 0.3793 0.5000
# - ΔH_f (0 K) (eV/atom) = -0.53
# - calculated volume (Å³/cell) = 244.8

# NdCoNi PBE relaxed
data_NdCoNi
_cell_length_a 3.9801
_cell_length_b 3.9801
_cell_length_c 4.0145
_cell_angle_alpha 90.00
_cell_angle_beta 90.00
_cell_angle_gamma 120.00
_symmetry_space_group_name_H-M 'P 1'
_symmetry_Int_Tables_number 1
_symmetry_space_group_name_Hall 'P 1'
loop_
_atom_site_label
_atom_site_type_symbol
_atom_site_fract_x
_atom_site_fract_y
_atom_site_fract_z
Nd1 Nd 0.0000 0.0000 0.0000
Co1 Co 0.6667 0.3333 0.5000
Ni1 Ni 0.3333 0.6667 0.5000
# - ΔH_f (0 K) (eV/atom) = -0.16
# - calculated volume (Å³/cell) = 55.1

# LiTi2Ir2 PBE relaxed
data_LiTi2Ir2
_cell_length_a 7.4696
_cell_length_b 7.4696
_cell_length_c 2.9071
_cell_angle_alpha 90.00
_cell_angle_beta 90.00
_cell_angle_gamma 90.00
_symmetry_space_group_name_H-M 'P 1'
_symmetry_Int_Tables_number 1
_symmetry_space_group_name_Hall 'P 1'
loop_
_atom_site_label
_atom_site_type_symbol
_atom_site_fract_x
_atom_site_fract_y
_atom_site_fract_z
Li1 Li 0.0000 0.0000 0.0000
Li2 Li 0.5000 0.5000 0.0000
Ti1 Ti 0.1524 0.3476 0.5000
Ti2 Ti 0.3476 0.8476 0.5000
Ti3 Ti 0.6524 0.1524 0.5000
Ti4 Ti 0.8476 0.6524 0.5000
Ir1 Ir 0.1435 0.6435 0.0000
Ir2 Ir 0.3565 0.1435 0.0000
Ir3 Ir 0.6435 0.8565 0.0000
Ir4 Ir 0.8565 0.3565 0.0000
# - ΔH_f (0 K) (eV/atom) = -0.62
# - calculated volume (Å³/cell) = 162.2
# - ΔE to the lowest computed polymorph (eV per atom) = 0.000

# BaTlMo PBE relaxed
data_BaTlMo
_cell_length_a 6.5861
_cell_length_b 6.5861
_cell_length_c 6.5861
_cell_angle_alpha 145.87
_cell_angle_beta 145.87
_cell_angle_gamma 49.04
_symmetry_space_group_name_H-M 'P 1'
_symmetry_Int_Tables_number 1
_symmetry_space_group_name_Hall 'P 1'
loop_
_atom_site_label
_atom_site_type_symbol
_atom_site_fract_x
_atom_site_fract_y
_atom_site_fract_z
Ba1 Ba 0.0000 0.0000 0.0000
Tl1 Tl 0.2791 0.2791 0.0000
Mo1 Mo 0.7191 0.7191 0.0000
# - ΔH_f (0 K) (eV/atom) = 0.75
# - calculated volume (Å³/cell) = 89.5
# - ΔE to the lowest computed polymorph (eV per atom) = 0.000

# YCoPt2 PBE relaxed
data_YCoPt2
_cell_length_a 8.8208
_cell_length_b 8.8208
_cell_length_c 8.8208
_cell_angle_alpha 150.10
_cell_angle_beta 150.10
_cell_angle_gamma 42.79
_symmetry_space_group_name_H-M 'P 1'
_symmetry_Int_Tables_number 1
_symmetry_space_group_name_Hall 'P 1'
loop_
_atom_site_label
_atom_site_type_symbol
_atom_site_fract_x
_atom_site_fract_y
_atom_site_fract_z
Y1 Y 0.0000 0.0000 0.0000
Y2 Y 0.7500 0.2500 0.5000
Co1 Co 0.2500 0.7500 0.5000
Co2 Co 0.5000 0.5000 0.0000
Pt1 Pt 0.2381 0.6250 0.1131
Pt2 Pt 0.3750 0.4881 0.6131
Pt3 Pt 0.5119 0.1250 0.8869
Pt4 Pt 0.8750 0.7619 0.3869
# - ΔH_f (0 K) (eV/atom) = -0.20
# - calculated volume (Å³/cell) = 170.1

# Rb4PrPa3S12 PBE relaxed
data_Rb4PrPa3S12
_cell_length_a 9.2725
_cell_length_b 9.2725
_cell_length_c 9.2725
_cell_angle_alpha 109.47
_cell_angle_beta 109.47
_cell_angle_gamma 109.47
_symmetry_space_group_name_H-M 'P 1'
_symmetry_Int_Tables_number 1
_symmetry_space_group_name_Hall 'P 1'
loop_
_atom_site_label
_atom_site_type_symbol
_atom_site_fract_x
_atom_site_fract_y
_atom_site_fract_z
Rb1 Rb 0.0000 0.0000 0.5000
Rb2 Rb 0.0000 0.5000 0.0000
Rb3 Rb 0.5000 0.0000 0.0000
Rb4 Rb 0.5000 0.5000 0.5000
Pr1 Pr 0.0000 0.0000 0.0000
Pa1 Pa 0.0000 0.5000 0.5000
Pa2 Pa 0.5000 0.0000 0.5000
Pa3 Pa 0.5000 0.5000 0.0000
S1 S 0.0000 0.2614 0.2614
S2 S 0.0000 0.7386 0.7386
S3 S 0.2500 0.5000 0.7500
S4 S 0.2500 0.7500 0.5000
S5 S 0.2614 0.0000 0.2614
S6 S 0.2614 0.2614 0.0000
S7 S 0.5000 0.2500 0.7500
S8 S 0.5000 0.7500 0.2500
S9 S 0.7386 0.0000 0.7386
S10 S 0.7386 0.7386 0.0000
S11 S 0.7500 0.2500 0.5000
S12 S 0.7500 0.5000 0.2500
# - calculated volume (Å³/cell) = 613.7
# - formation energy from raw total energies (eV/atom) = -1.461

# ScGeAsSe2 PBE relaxed
data_ScGeAsSe2
_cell_length_a 5.1020
_cell_length_b 5.1020
_cell_length_c 5.1485
_cell_angle_alpha 90.00
_cell_angle_beta 90.00
_cell_angle_gamma 90.00
_symmetry_space_group_name_H-M 'P 1'
_symmetry_Int_Tables_number 1
_symmetry_space_group_name_Hall 'P 1'
loop_
_atom_site_label
_atom_site_type_symbol
_atom_site_fract_x
_atom_site_fract_y
_atom_site_fract_z
Sc1 Sc 0.0000 0.0000 0.0000
Ge1 Ge 0.5000 0.5000 0.5000
As1 As 0.0000 0.0000 0.5000
Se1 Se 0.0000 0.5000 0.0000
Se2 Se 0.5000 0.0000 0.0000
# - calculated volume (Å³/cell) = 134.0
# - ΔE to the lowest computed polymorph (eV per atom) = 0.000
# - formation energy from raw total energies (eV/atom) = -0.044

# MnIn2Ru PBE relaxed
data_MnIn2Ru
_cell_length_a 4.6259
_cell_length_b 4.6259
_cell_length_c 4.6259
_cell_angle_alpha 60.00
_cell_angle_beta 60.00
_cell_angle_gamma 60.00
_symmetry_space_group_name_H-M 'P 1'
_symmetry_Int_Tables_number 1
_symmetry_space_group_name_Hall 'P 1'
loop_
_atom_site_label
_atom_site_type_symbol
_atom_site_fract_x
_atom_site_fract_y
_atom_site_fract_z
Mn1 Mn 0.0000 0.0000 0.0000
In1 In 0.2500 0.2500 0.2500
In2 In 0.5000 0.5000 0.5000
Ru1 Ru 0.7500 0.7500 0.7500
# - ΔH_f (0 K) (eV/atom) = 0.31
# - calculated volume (Å³/cell) = 70.0
# - ΔE to the lowest computed polymorph (eV per atom) = 0.184